First-principles (PBE) data for a geometry-optimized CoIrPt3 structure, as listed in the Alexandria database.

```
CoIrPt3
1.0
4.4695 0.0000 0.0000
0.0000 4.4695 0.0000
0.0000 0.0000 4.4695
Ir Co Pt
1 1 3
direct
0.5000 0.5000 0.5000
0.0000 0.0000 0.0000
0.0000 0.5000 0.0000
0.0000 0.0000 0.5000
0.5000 0.0000 0.0000
```

## Properties
The space group is No. 221. As for the volume: 89.3 Å³/cell. The final energy is -27.454 eV per cell. The formation energy comes out at 6.635 eV/f.u.

=====

First-principles (PBE) data for a geometry-optimized Co2IrPt structure, as listed in the Alexandria database.

```
Co2IrPt
1.0
-3.2308 -2.3854 2.2587
-0.6840 -4.0710 -2.0467
3.8210 2.1484 1.4194
Co Ir Pt
2 1 1
direct
0.9999 0.9999 0.0000
0.7500 0.2500 0.5000
0.5000 0.5000 0.0000
0.2500 0.7500 0.5000
```

## Properties
The relative energy among the computed polymorphs is 0.023 eV/atom. The space group is No. 119. As for the volume: 52.6 Å³/cell. The final energy is -29.017 eV per cell. The formation energy comes out at 0.097 eV/f.u.

=====

First-principles (PBE) data for a geometry-optimized Co2IrPt structure, as listed in the Alexandria database.

```
Co2IrPt
1.0
8.6759 -0.0064 -0.0038
8.2608 2.6517 -0.0038
8.2608 1.2902 2.3166
Ir Co Pt
1 2 1
direct
0.2500 0.2500 0.2500
0.9985 0.9985 0.9985
0.5015 0.5015 0.5015
0.7500 0.7500 0.7500
```

## Properties
The relative energy among the computed polymorphs is 0.000 eV/atom. The space group is No. 166. As for the volume: 53.5 Å³/cell. The final energy is -29.107 eV per cell. The formation energy comes out at 0.006 eV/f.u.

=====

First-principles (PBE) data for a geometry-optimized Co2IrPt structure, as listed in the Alexandria database.

```
Co2IrPt
1.0
-0.3020 -1.5977 -2.1347
1.0042 -2.0583 1.3985
-6.7355 -1.7491 2.2622
Co Ir Pt
2 1 1
direct
0.0000 0.0000 0.0188
0.5000 0.5000 0.2381
0.0000 0.0000 0.4793
0.5000 0.5000 0.7638
```

## Properties
The relative energy among the computed polymorphs is 0.031 eV/atom. The space group is No. 99. As for the volume: 52.7 Å³/cell. The final energy is -28.985 eV per cell. The formation energy comes out at 0.129 eV/f.u.

=====

First-principles (PBE) data for a geometry-optimized Co2IrPt structure, as listed in the Alexandria database.

```
Co2IrPt
1.0
4.3658 0.0000 0.0000
0.0000 2.6558 -0.0040
0.0000 0.1113 4.7552
Co Ir Pt
2 1 1
direct
0.0000 0.9031 0.0164
0.0000 0.5969 0.4836
0.5000 0.2500 0.2500
0.5000 0.7500 0.7500
```

## Properties
The relative energy among the computed polymorphs is 0.182 eV/atom. The space group is No. 10. As for the volume: 55.1 Å³/cell. The final energy is -28.378 eV per cell. The formation energy comes out at 0.736 eV/f.u.

=====

First-principles (PBE) data for a geometry-optimized Co2Ir2Pt structure, as listed in the Alexandria database.

```
Co2Ir2Pt
1.0
-2.1299 1.4334 -6.6634
-3.5385 -6.1992 -0.2025
-2.1993 1.2238 0.9662
Ir Co Pt
4 4 2
direct
0.1721 0.6721 0.5000
0.6721 0.8279 0.5000
0.8279 0.3279 0.5000
0.3279 0.1721 0.5000
0.3778 0.8778 0.0000
0.8778 0.6222 0.0000
0.6222 0.1222 0.0000
0.1222 0.3778 0.0000
0.0000 0.0000 0.0000
0.5000 0.5000 0.0000
```

## Properties
The relative energy among the computed polymorphs is 0.000 eV/atom. The space group is No. 127. As for the volume: 137.5 Å³/cell. The final energy is -74.075 eV per cell. The formation energy comes out at 0.937 eV/f.u.

=====

First-principles (PBE) data for a geometry-optimized Co2IrPt structure, as listed in the Alexandria database.

```
Co2IrPt
1.0
2.6748 0.0000 0.0000
0.0000 3.6429 0.0000
0.0000 0.0000 5.3976
Ir Co Pt
1 2 1
direct
0.5000 0.5000 0.2500
0.0000 0.0000 0.0125
0.0000 0.0000 0.4875
0.5000 0.5000 0.7500
```

## Properties
The relative energy among the computed polymorphs is 0.000 eV/atom. The space group is No. 47. As for the volume: 52.6 Å³/cell. The final energy is -29.107 eV per cell. The formation energy comes out at 0.007 eV/f.u.

=====

First-principles (PBE) data for a geometry-optimized Co6IrPt structure, as listed in the Alexandria database.

```
Co6IrPt
1.0
-3.9736 0.1476 1.1207
0.7694 -3.9865 3.2529
0.6522 4.8841 1.6692
Co Ir Pt
6 1 1
direct
0.0000 0.0716 0.4110
0.0000 0.5890 0.9284
0.0000 0.5893 0.4107
0.5000 0.4315 0.0907
0.5000 0.9093 0.5685
0.5000 0.9090 0.0910
0.5000 0.4168 0.5832
0.0000 0.0832 0.9168
```

## Properties
The relative energy among the computed polymorphs is 0.000 eV/atom. The space group is No. 187. As for the volume: 96.8 Å³/cell. The final energy is -57.814 eV per cell. The formation energy comes out at -0.277 eV/f.u.

=====

First-principles (PBE) data for a geometry-optimized CoIrPt structure, as listed in the Alexandria database.

```
CoIrPt
1.0
4.0136 0.0000 0.0000
2.0068 3.4759 0.0000
2.0068 1.1586 3.2771
Co Ir Pt
1 1 1
direct
0.7500 0.7500 0.7500
0.0000 0.0000 0.0000
0.5000 0.5000 0.5000
```

## Properties
The relative energy among the computed polymorphs is 0.387 eV/atom. The space group is No. 216. As for the volume: 45.7 Å³/cell. The final energy is -20.816 eV per cell. The formation energy comes out at 1.192 eV/f.u.

=====

First-principles (PBE) data for a geometry-optimized Co2IrPt structure, as listed in the Alexandria database.

```
Co2IrPt
1.0
0.0000 2.9955 2.9955
2.9955 0.0000 2.9955
2.9955 2.9955 0.0000
Ir Co Pt
1 2 1
direct
0.0000 0.0000 0.0000
0.2500 0.2500 0.2500
0.7500 0.7500 0.7500
0.5000 0.5000 0.5000
```

## Properties
The relative energy among the computed polymorphs is 0.153 eV/atom. The space group is No. 225. As for the volume: 53.8 Å³/cell. The final energy is -28.494 eV per cell. The formation energy comes out at 0.620 eV/f.u.

=====

First-principles (PBE) data for a geometry-optimized CoIrPt structure, as listed in the Alexandria database.

```
CoIrPt
1.0
2.7124 0.0000 0.0000
0.0000 7.3998 0.0000
0.0000 0.0000 8.5506
Co Pt Ir
4 4 4
direct
0.5000 0.7791 0.1250
0.5000 0.2792 0.3750
0.5000 0.2791 0.8750
0.5000 0.7792 0.6250
0.0000 0.1122 0.1250
0.0000 0.1122 0.6250
0.0000 0.6122 0.3750
0.0000 0.6122 0.8750
0.5000 0.9458 0.3750
0.5000 0.4458 0.1250
0.5000 0.9458 0.8750
0.5000 0.4458 0.6250
```

## Properties
The relative energy among the computed polymorphs is 0.183 eV/atom. The space group is No. 187. As for the volume: 171.6 Å³/cell. The final energy is -85.707 eV per cell. The formation energy comes out at 0.581 eV/f.u.

=====

First-principles (PBE) data for a geometry-optimized Co2IrPt structure, as listed in the Alexandria database.

```
Co2IrPt
1.0
4.0546 0.0000 0.0000
2.0273 3.5114 0.0000
2.0273 1.1705 3.9268
Co Ir Pt
2 1 1
direct
0.9562 0.9562 0.1313
0.2931 0.2931 0.1207
0.5152 0.5152 0.4545
0.7355 0.7355 0.7935
```

## Properties
The relative energy among the computed polymorphs is 0.200 eV/atom. The space group is No. 160. As for the volume: 55.9 Å³/cell. The final energy is -28.308 eV per cell. The formation energy comes out at 0.805 eV/f.u.

=====

First-principles (PBE) data for a geometry-optimized Co2IrPt structure, as listed in the Alexandria database.

```
Co2IrPt
1.0
-0.7764 -2.6259 -3.7098
1.8007 -1.9104 -3.7906
1.1874 -4.0955 1.6059
Ir Co Pt
1 2 1
direct
0.4954 0.4954 0.5197
0.0053 0.0053 0.9965
0.7473 0.7473 0.7470
0.2520 0.2520 0.2368
```

## Properties
The relative energy among the computed polymorphs is 0.019 eV/atom. The space group is No. 8. As for the volume: 52.8 Å³/cell. The final energy is -29.033 eV per cell. The formation energy comes out at 0.081 eV/f.u.

=====

First-principles (PBE) data for a geometry-optimized Co2IrPt3 structure, as listed in the Alexandria database.

```
Co2IrPt3
1.0
-1.8580 0.7561 3.2794
-4.9736 -3.4652 0.2343
3.9821 -5.4779 3.5198
Co Ir Pt
4 2 6
direct
0.0000 0.0000 0.0000
0.0000 0.0000 0.5000
0.3344 0.3313 0.5000
0.6656 0.6687 0.5000
0.3355 0.3290 0.0000
0.6645 0.6710 0.0000
0.8346 0.3314 0.7409
0.4997 0.0000 0.2576
0.1654 0.6686 0.2591
0.8340 0.3314 0.2591
0.1660 0.6686 0.7409
0.5003 0.0000 0.7424
```

## Properties
The space group is No. 65. As for the volume: 168.8 Å³/cell. The final energy is -82.554 eV per cell. The formation energy comes out at -0.082 eV/f.u.

=====

First-principles (PBE) data for a geometry-optimized Co2IrPt structure, as listed in the Alexandria database.

```
Co2IrPt
1.0
6.5949 0.0000 0.0000
0.0000 6.5949 0.0000
3.2975 3.2975 2.6634
Ir Co Pt
2 4 2
direct
0.5000 0.5000 0.0000
0.2500 0.7500 0.5000
0.6108 0.1250 0.2500
0.1392 0.6250 0.2500
0.3750 0.3892 0.7500
0.8750 0.8608 0.7500
0.0000 0.0000 0.0000
0.7500 0.2500 0.5000
```

## Properties
The relative energy among the computed polymorphs is 0.545 eV/atom. The space group is No. 122. As for the volume: 115.8 Å³/cell. The final energy is -53.852 eV per cell. The formation energy comes out at 2.187 eV/f.u.

=====

First-principles (PBE) data for a geometry-optimized Co2IrPt structure, as listed in the Alexandria database.

```
Co2IrPt
1.0
-1.1449 0.9699 2.1821
0.2507 -2.6261 -0.2331
7.9454 0.4043 3.9891
Co Ir Pt
2 1 1
direct
0.0000 0.0000 0.0174
0.5000 0.5000 0.2379
0.0000 0.0000 0.4810
0.5000 0.5000 0.7638
```

## Properties
The relative energy among the computed polymorphs is 0.223 eV/atom. The space group is No. 35. As for the volume: 54.9 Å³/cell. The final energy is -28.217 eV per cell. The formation energy comes out at 0.897 eV/f.u.

=====

First-principles (PBE) data for a geometry-optimized CoIrPt structure, as listed in the Alexandria database.

```
CoIrPt
1.0
5.9483 0.0062 0.0000
4.7084 3.6350 0.0000
-5.3283 -1.8206 1.9174
Ir Co Pt
1 1 1
direct
0.3435 0.3435 0.0000
0.9955 0.9955 0.0000
0.6610 0.6610 0.0000
```

## Properties
The relative energy among the computed polymorphs is 0.000 eV/atom. The space group is No. 107. As for the volume: 41.4 Å³/cell. The final energy is -21.977 eV per cell. The formation energy comes out at 0.031 eV/f.u.

=====

First-principles (PBE) data for a geometry-optimized CoIrPt structure, as listed in the Alexandria database.

```
CoIrPt
1.0
7.2424 0.0130 -0.0080
6.4934 2.5938 -0.0085
0.7490 -1.1617 2.3046
Co Ir Pt
1 1 1
direct
0.9962 0.9962 0.0038
0.3432 0.3432 0.6568
0.6605 0.6605 0.3395
```

## Properties
The relative energy among the computed polymorphs is 0.191 eV/atom. The space group is No. 42. As for the volume: 43.1 Å³/cell. The final energy is -21.403 eV per cell. The formation energy comes out at 0.605 eV/f.u.

=====

First-principles (PBE) data for a geometry-optimized CoIr2PtRh2 structure, as listed in the Alexandria database.

```
CoIr2PtRh2
1.0
-0.0954 -4.5612 2.7032
3.0421 2.9080 5.0142
-4.7891 0.9442 1.4243
Co Ir Pt Rh
2 4 2 4
direct
0.7500 0.1468 0.6899
0.2500 0.8532 0.3101
0.2500 0.1472 0.6875
0.2500 0.5012 0.5032
0.7500 0.8528 0.3125
0.7500 0.4988 0.4968
0.2500 0.5090 0.0071
0.7500 0.4910 0.9929
0.4981 0.1779 0.1973
0.0019 0.1779 0.1973
0.9981 0.8221 0.8027
0.5019 0.8221 0.8027
```

## Properties
The space group is No. 11. As for the volume: 174.8 Å³/cell. The final energy is -88.363 eV per cell. The formation energy comes out at 1.390 eV/f.u.

=====

First-principles (PBE) data for a geometry-optimized Co2IrPtSe6 structure, as listed in the Alexandria database.

```
Co2IrPtSe6
1.0
-1.7283 4.5367 -4.1899
2.1806 -2.9939 -7.0497
-7.8529 -1.0491 -0.8052
Co Ir Pt Se
4 2 2 12
direct
0.2676 0.7092 0.5352
0.2324 0.4648 0.2908
0.7324 0.2908 0.4648
0.7676 0.5352 0.7092
0.2500 0.9151 0.0849
0.7500 0.0849 0.9151
0.2500 0.2369 0.7631
0.7500 0.7631 0.2369
0.1603 0.9412 0.7913
0.3397 0.2087 0.0588
0.8397 0.0588 0.2087
0.6603 0.7913 0.9412
0.3399 0.9212 0.3674
0.1601 0.6326 0.0788
0.6601 0.0788 0.6326
0.8399 0.3674 0.9212
0.9251 0.6899 0.4993
0.5749 0.5007 0.3101
0.0749 0.3101 0.5007
0.4251 0.4993 0.6899
```

## Properties
The space group is No. 15. As for the volume: 375.8 Å³/cell. The energy relative to the elements, uncorrected is -226.3 meV/atom. The final energy is -104.567 eV per cell.